# Li2MnNiO4 | Alexandria via LeMat-Bulk | GGA-PBEsol | optimized geometry
data_Li2MnNiO4
_chemical_formula_sum 'Li2 Mn1 Ni1 O4'
_space_group_name_H-M_alt 'P 1'
_space_group_IT_number 1
_cell_length_a 4.954
_cell_length_b 4.954
_cell_length_c 4.954
_cell_angle_alpha 132.32
_cell_angle_beta 132.32
_cell_angle_gamma 69.73
loop_
_space_group_symop_operation_xyz
'x,y,z'
loop_
_atom_site_label
_atom_site_type_symbol
_atom_site_fract_x
_atom_site_fract_y
_atom_site_fract_z
Li1 Li 0.000 0.000 0.000
Li2 Li 0.750 0.250 0.500
Mn1 Mn 0.500 0.500 0.000
Ni1 Ni 0.250 0.750 0.500
O1 O 0.015 0.515 0.500
O2 O 0.268 0.268 0.000
O3 O 0.485 0.985 0.500
O4 O 0.732 0.732 0.000
# Formation energy without anion corrections: -1614 meV/atom
# Volume: 8.15 Å³/atom
# Total DFT energy (no corrections): -53.76 eV for the cell shown
# DOS at the Fermi energy: 0.18 states/eV per atom

---

# YSc2In | Alexandria via LeMat-Bulk | GGA-PBEsol | optimized geometry
data_YSc2In
_chemical_formula_sum 'Y1 Sc2 In1'
_space_group_name_H-M_alt 'P 1'
_space_group_IT_number 1
_cell_length_a 5.668
_cell_length_b 5.668
_cell_length_c 5.668
_cell_angle_alpha 133.01
_cell_angle_beta 133.01
_cell_angle_gamma 68.64
loop_
_space_group_symop_operation_xyz
'x,y,z'
loop_
_atom_site_label
_atom_site_type_symbol
_atom_site_fract_x
_atom_site_fract_y
_atom_site_fract_z
Y1 Y 0.000 0.000 0.000
Sc1 Sc 0.250 0.750 0.500
Sc2 Sc 0.750 0.250 0.500
In1 In 0.500 0.500 0.000
# Formation energy: -0.24 eV per atom
# Volume: 23.90 Å³/atom
# Total DFT energy (no corrections): -23.98 eV for the cell shown
# DOS at the Fermi energy: 1.47 states/eV per atom

---

# Li2InRh | Alexandria via LeMat-Bulk | GGA-PBEsol | optimized geometry
data_Li2InRh
_chemical_formula_sum 'Li2 In1 Rh1'
_space_group_name_H-M_alt 'P 1'
_space_group_IT_number 1
_cell_length_a 4.403
_cell_length_b 4.403
_cell_length_c 4.403
_cell_angle_alpha 60.00
_cell_angle_beta 60.00
_cell_angle_gamma 60.00
loop_
_space_group_symop_operation_xyz
'x,y,z'
loop_
_atom_site_label
_atom_site_type_symbol
_atom_site_fract_x
_atom_site_fract_y
_atom_site_fract_z
Li1 Li 0.000 0.000 0.000
Li2 Li 0.250 0.250 0.250
In1 In 0.750 0.750 0.750
Rh1 Rh 0.500 0.500 0.500
# Formation energy: -0.35 eV per atom
# Volume: 15.08 Å³/atom
# Total DFT energy (no corrections): -16.47 eV for the cell shown
# DOS at the Fermi energy: 0.36 states/eV per atom

---

# Li3SiTc | Alexandria via LeMat-Bulk | GGA-PBEsol | optimized geometry
data_Li3SiTc
_chemical_formula_sum 'Li3 Si1 Tc1'
_space_group_name_H-M_alt 'P 1'
_space_group_IT_number 1
_cell_length_a 4.484
_cell_length_b 4.484
_cell_length_c 4.484
_cell_angle_alpha 90.00
_cell_angle_beta 90.00
_cell_angle_gamma 90.00
loop_
_space_group_symop_operation_xyz
'x,y,z'
loop_
_atom_site_label
_atom_site_type_symbol
_atom_site_fract_x
_atom_site_fract_y
_atom_site_fract_z
Li1 Li 0.000 0.000 0.500
Li2 Li 0.000 0.500 0.000
Li3 Li 0.500 0.000 0.000
Si1 Si 0.000 0.000 0.000
Tc1 Tc 0.500 0.500 0.500
# Formation energy without anion corrections: 1055 meV/atom
# Volume: 18.03 Å³/atom
# Total DFT energy (no corrections): -17.64 eV for the cell shown
# DOS at the Fermi energy: 0.62 states/eV per atom